# 1
The following is a PBE-GGA calculation of a relaxed structure of Nd3Ti4O12, from Alexandria.

a = 7.7666 Å, b = 7.7750 Å, c = 7.8374 Å
α = 90.00°, β = 90.00°, γ = 90.00°
Space group Amm2 (No. 38)
Symmetry-distinct sites (fractional):
Nd 0.0000 0.0000 0.0000
Nd 0.0000 0.0000 0.4972
Nd 0.5000 0.0000 0.9722
Ti 0.2558 0.2467 0.2375
O 0.0000 0.1946 0.2404
O 0.1997 0.0000 0.7580
O 0.2283 0.2346 0.4872
O 0.2884 0.0000 0.1935
O 0.5000 0.2113 0.7509

Output
As for the uncorrected energy: -166.1 eV/f.u. The distance to the lowest polymorph of the same formula is 36 meV per atom. Its uncorrected formation energy is -3.196 eV/atom.



# 2
The following is a PBE-GGA calculation of a relaxed structure of Sc5Sn3Se12, from Alexandria.

a = 16.4602 Å, b = 16.4602 Å, c = 16.4602 Å
α = 90.00°, β = 90.00°, γ = 90.00°
Space group Ia-3d (No. 230)
Symmetry-distinct sites (fractional):
Sc 0.0000 0.0000 0.0000
Sc 0.0000 0.2500 0.3750
Sn 0.0000 0.2500 0.1250
Se 0.0278 0.0655 0.6486

Output
As for the uncorrected energy: -104.1 eV/f.u. Its uncorrected formation energy is -0.930 eV/atom.



# 3
The following is a PBE-GGA calculation of a relaxed structure of Hf4TlH2, from Alexandria.

a = 5.6125 Å, b = 5.9478 Å, c = 7.9341 Å
α = 101.99°, β = 109.38°, γ = 98.07°
Space group P1 (No. 1)
Symmetry-distinct sites (fractional):
Hf 0.0000 0.0000 0.0000
Hf 0.0065 0.1548 0.4147
Hf 0.2506 0.6659 0.2985
Hf 0.4937 0.5503 0.6885
Hf 0.5134 0.8719 0.0471
Hf 0.5529 0.0344 0.6744
Hf 0.6810 0.4019 0.0782
Hf 0.9322 0.6945 0.5415
Tl 0.0728 0.4386 0.8556
Tl 0.4878 0.2391 0.3461
H 0.0202 0.3175 0.1979
H 0.3247 0.8192 0.7572
H 0.7271 0.6758 0.9596
H 0.8659 0.0137 0.5843

Output
As for the uncorrected energy: -49.4 eV/f.u.



# 4
The following is a PBE-GGA calculation of a relaxed structure of NaYSb2Te, from Alexandria.

a = 5.8350 Å, b = 5.8350 Å, c = 5.9118 Å
α = 90.00°, β = 90.00°, γ = 90.00°
Space group P4/mmm (No. 123)
Symmetry-distinct sites (fractional):
Na 0.0000 0.0000 0.0000
Y 0.5000 0.5000 0.5000
Sb 0.0000 0.5000 0.5000
Te 0.5000 0.5000 0.0000

Output
As for the uncorrected energy: -20.0 eV/f.u. The distance to the lowest polymorph of the same formula is 0 meV per atom. Its uncorrected formation energy is -0.167 eV/atom.



# 5
The following is a PBE-GGA calculation of a relaxed structure of SnIrRu2W, from Alexandria.

a = 4.6826 Å, b = 4.6826 Å, c = 4.9132 Å
α = 90.00°, β = 90.00°, γ = 90.00°
Space group P4/mmm (No. 123)
Symmetry-distinct sites (fractional):
Sn 0.0000 0.0000 0.0000
Ir 0.0000 0.0000 0.5000
Ru 0.0000 0.5000 0.5000
W 0.5000 0.5000 0.0000

Output
As for the uncorrected energy: -34.6 eV/f.u. The formation energy comes out at 44.938 kcal/mol of atoms.



# 6
The following is a PBE-GGA calculation of a relaxed structure of CaPm3Y, from Alexandria.

a = 3.6413 Å, b = 9.7221 Å, c = 10.4936 Å
α = 105.64°, β = 90.03°, γ = 100.79°
Space group P-1 (No. 2)
Symmetry-distinct sites (fractional):
Ca 0.1002 0.1988 0.0502
Pm 0.2992 0.5980 0.6440
Pm 0.3006 0.6028 0.1570
Pm 0.4992 0.9989 0.2687
Y 0.1022 0.2037 0.5510

Output
As for the uncorrected energy: -22.5 eV/f.u. The formation energy comes out at 1.031 kcal/mol of atoms. The distance to the lowest polymorph of the same formula is 0 meV per atom.